(1)
First-principles (meta-GGA SCAN) data for a crystal of LiIn2Tc relaxed with PBEsol, as listed in Alexandria.

```
LiIn2Tc
1.0
-4.433 -1.077 0.389
-1.415 -2.666 3.443
-2.499 1.782 3.397
In Li Tc
2 1 1
Cartesian
-2.087 -0.490 1.807
-6.260 -1.470 5.422
0.000 0.000 0.000
-4.173 -0.980 3.614
```

Computed properties:
The excess energy over the best structure of this formula in the dataset comes out at 0 meV/atom. The formation energy is 34 meV/atom. The value obtained for the raw total energy is -1.9126 Ry/atom.

***

(2)
First-principles (meta-GGA SCAN) data for a crystal of KLaRe2 relaxed with PBEsol, as listed in Alexandria.

```
KLaRe2
1.0
-1.954 1.385 1.292
0.737 -1.864 5.061
3.857 3.085 3.502
K La Re
1 1 2
Cartesian
-0.609 -0.240 3.177
-0.977 0.692 0.646
1.928 1.542 1.751
2.297 0.610 4.282
```

Computed properties:
The excess energy over the best structure of this formula in the dataset comes out at 0 meV/atom. The formation energy is 1223 meV/atom. The value obtained for the raw total energy is -3.4679 Ry/atom.

***

(3)
First-principles (meta-GGA SCAN) data for a crystal of CaSbOsI2 relaxed with PBEsol, as listed in Alexandria.

```
CaSbOsI2
1.0
5.645 0.000 0.000
0.000 5.645 0.000
0.000 0.000 6.074
I Sb Ca Os
2 1 1 1
Cartesian
0.000 2.823 0.000
2.823 0.000 0.000
0.000 0.000 3.037
0.000 0.000 0.000
2.823 2.823 3.037
```

Computed properties:
The calculation puts the uncorrected formation energy at 1.121 eV per atom. The value obtained for the raw total energy is -2.7442 Ry/atom.

***

(4)
First-principles (meta-GGA SCAN) data for a crystal of MgZnCd relaxed with PBEsol, as listed in Alexandria.

```
MgZnCd
1.0
-2.074 1.032 2.054
0.483 -3.864 2.428
2.679 3.619 0.888
Zn Mg Cd
1 1 1
Cartesian
0.870 -1.198 2.257
0.565 1.812 2.770
-0.347 0.172 0.344
```

Computed properties:
The excess energy over the best structure of this formula in the dataset comes out at 0 meV/atom. The formation energy is -91 meV/atom. The value obtained for the raw total energy is -1.2048 Ry/atom.

***

(5)
First-principles (meta-GGA SCAN) data for a crystal of Mg2CoMo relaxed with PBEsol, as listed in Alexandria.

```
Mg2CoMo
1.0
3.007 0.000 0.000
0.000 4.642 0.000
-1.503 -2.321 4.513
Co Mg Mo
1 2 1
Cartesian
1.503 0.000 2.404
0.000 0.000 0.242
0.000 2.321 2.203
0.000 0.000 4.177
```

Computed properties:
The excess energy over the best structure of this formula in the dataset comes out at 57 meV/atom. The formation energy is 381 meV/atom. The value obtained for the raw total energy is -1.1137 Ry/atom.

***

(6)
First-principles (meta-GGA SCAN) data for a crystal of KCuAg2 relaxed with PBEsol, as listed in Alexandria.

```
KCuAg2
1.0
-1.263 0.376 -3.075
1.183 -3.010 -0.854
-6.497 -3.200 2.277
Ag Cu K
2 1 1
Cartesian
-0.460 -0.227 0.161
-1.830 -2.199 -1.337
-2.708 -1.334 0.949
-4.827 -3.675 -0.286
```

Computed properties:
The excess energy over the best structure of this formula in the dataset comes out at 0 meV/atom. The formation energy is 292 meV/atom. The value obtained for the raw total energy is -1.5636 Ry/atom.

***

(7)
First-principles (meta-GGA SCAN) data for a crystal of CaNdGa3O7 relaxed with PBEsol, as listed in Alexandria.

```
CaNdGa3O7
1.0
5.227 0.000 0.048
0.000 7.850 0.000
0.035 0.000 7.898
Ca Nd Ga O
2 2 6 14
Cartesian
2.802 2.708 7.326
2.460 6.632 0.620
2.619 5.155 4.721
2.643 1.230 3.225
0.064 3.914 2.069
5.198 7.839 5.877
5.089 1.112 0.856
0.173 5.037 7.090
5.059 6.715 3.132
0.203 2.790 4.814
1.083 3.756 6.106
4.179 7.681 1.840
1.270 3.353 3.348
3.992 7.278 4.597
1.000 4.821 0.798
4.262 0.896 7.148
4.158 2.601 1.501
1.104 6.526 6.444
4.221 5.077 3.036
1.041 1.152 4.910
1.660 1.125 0.958
3.602 5.050 6.988
1.634 6.763 3.115
3.628 2.838 4.831
```

Computed properties:
The excess energy over the best structure of this formula in the dataset comes out at 0 meV/atom. The calculation puts the uncorrected formation energy at -2.653 eV per atom. The value obtained for the raw total energy is -1.0887 Ry/atom.

***

(8)
First-principles (meta-GGA SCAN) data for a crystal of ZrRePb3 relaxed with PBEsol, as listed in Alexandria.

```
ZrRePb3
1.0
-5.396 0.155 1.147
0.042 -5.439 0.933
1.156 0.921 5.317
Pb Re Zr
3 1 1
Cartesian
0.021 -2.720 0.467
0.578 0.461 2.659
-2.698 0.077 0.573
-2.099 -2.182 3.698
0.000 0.000 0.000
```

Computed properties:
The formation energy is 1516 meV/atom. The value obtained for the raw total energy is -4.7268 Ry/atom.

***

(9)
First-principles (meta-GGA SCAN) data for a crystal of LiTm2Os relaxed with PBEsol, as listed in Alexandria.

```
LiTm2Os
1.0
4.766 0.000 0.000
2.383 4.127 0.000
2.383 1.376 3.891
Tm Os Li
2 1 1
Cartesian
2.383 1.376 0.973
7.148 4.127 2.918
0.000 0.000 0.000
4.766 2.751 1.946
```

Computed properties:
The formation energy is -407 meV/atom. The value obtained for the raw total energy is -3.2994 Ry/atom.

***

(10)
First-principles (meta-GGA SCAN) data for a crystal of TlRe2Cl relaxed with PBEsol, as listed in Alexandria.

```
TlRe2Cl
1.0
-1.170 -3.419 -0.407
2.377 -1.113 2.517
-4.955 3.216 3.476
Re Tl Cl
2 1 1
Cartesian
-2.761 -1.234 2.062
-0.987 -0.082 3.524
0.603 -2.266 1.055
0.000 0.000 0.000
```

Computed properties:
The excess energy over the best structure of this formula in the dataset comes out at 468 meV/atom. The calculation puts the uncorrected formation energy at 1.524 eV per atom. The value obtained for the raw total energy is -3.9769 Ry/atom.

***

(11)
First-principles (meta-GGA SCAN) data for a crystal of NiOs2Br relaxed with PBEsol, as listed in Alexandria.

```
NiOs2Br
1.0
-2.219 -1.493 0.972
1.722 -2.996 -0.673
2.388 0.110 5.621
Br Ni Os
1 1 2
Cartesian
1.314 0.061 3.094
1.592 -2.160 4.482
2.368 0.109 5.574
0.198 -2.224 1.200
```

Computed properties:
The excess energy over the best structure of this formula in the dataset comes out at 210 meV/atom. The calculation puts the uncorrected formation energy at 0.882 eV per atom. The value obtained for the raw total energy is -3.2314 Ry/atom.

***

(12)
First-principles (meta-GGA SCAN) data for a crystal of HfZnRu3 relaxed with PBEsol, as listed in Alexandria.

```
HfZnRu3
1.0
4.669 0.000 0.000
0.000 4.669 0.000
0.000 0.000 4.669
Ru Zn Hf
3 1 1
Cartesian
0.000 2.334 0.000
0.000 0.000 2.334
2.334 0.000 0.000
2.334 2.334 2.334
0.000 0.000 0.000
```

Computed properties:
The formation energy is 1560 meV/atom. The value obtained for the raw total energy is -2.5411 Ry/atom.

***

(13)
First-principles (meta-GGA SCAN) data for a crystal of BaLiIn2W relaxed with PBEsol, as listed in Alexandria.

```
BaLiIn2W
1.0
4.959 0.000 0.000
0.000 4.959 0.000
0.000 0.000 5.027
Li Ba W In
1 1 1 2
Cartesian
0.000 0.000 0.000
2.479 2.479 2.513
0.000 0.000 2.513
0.000 2.479 0.000
2.479 0.000 0.000
```

Computed properties:
The formation energy is 732 meV/atom. The value obtained for the raw total energy is -2.5686 Ry/atom.

***

(14)
First-principles (meta-GGA SCAN) data for a crystal of NbPt3Cl relaxed with PBEsol, as listed in Alexandria.

```
NbPt3Cl
1.0
4.460 0.000 0.000
0.000 4.460 0.000
0.000 0.000 4.460
Nb Pt Cl
1 3 1
Cartesian
2.230 2.230 2.230
0.000 2.230 0.000
0.000 0.000 2.230
2.230 0.000 0.000
0.000 0.000 0.000
```

Computed properties:
The calculation puts the uncorrected formation energy at 1.039 eV per atom. The value obtained for the raw total energy is -3.6234 Ry/atom.

***

(15)
First-principles (meta-GGA SCAN) data for a crystal of AlHgOs2 relaxed with PBEsol, as listed in Alexandria.

```
AlHgOs2
1.0
-1.505 -3.260 1.602
3.273 -1.969 -0.932
0.702 3.598 3.156
Os Hg Al
2 1 1
Cartesian
0.041 -1.138 2.547
2.430 -0.492 1.279
0.000 0.000 0.000
0.884 -2.614 0.335
```

Computed properties:
The excess energy over the best structure of this formula in the dataset comes out at 224 meV/atom. The formation energy is 598 meV/atom. The value obtained for the raw total energy is -3.9925 Ry/atom.

***

(16)
First-principles (meta-GGA SCAN) data for a crystal of DyB4Ru4 relaxed with PBEsol, as listed in Alexandria.

```
DyB4Ru4
1.0
-5.113 2.911 -4.493
3.174 -3.354 -5.786
-3.367 -5.736 6.213
Dy B Ru
4 16 16
Cartesian
-2.168 -2.978 0.537
-3.137 -3.200 -4.602
1.587 -1.677 -2.893
-2.556 1.456 -2.246
-2.375 -5.961 0.565
-4.408 -5.058 -2.635
-1.181 -2.723 -2.466
-4.426 -0.539 -3.455
-6.686 -1.519 -1.200
-1.478 -5.776 -3.786
-4.513 0.979 -4.383
-1.267 -1.205 -3.393
-2.852 -4.916 4.434
-4.885 -4.013 1.234
-3.610 -0.566 -0.313
1.431 -4.648 -2.596
-1.096 -5.475 -0.576
-4.176 -3.467 -1.869
-2.083 -1.178 -6.535
1.162 -3.362 -5.546
-5.647 -2.218 -2.910
-2.239 -4.573 -2.216
-0.660 -0.894 -1.242
-2.566 -0.125 -4.673
-3.414 -5.262 2.275
-6.821 -2.906 1.581
0.079 -3.762 -1.114
-3.128 -1.619 -2.176
0.006 -6.210 -2.230
-4.873 -2.300 -0.243
-0.444 -1.790 -5.340
-2.350 -1.021 -8.771
-0.780 -7.535 0.302
-4.187 -5.180 -0.392
-5.250 0.046 -1.508
-0.169 -4.077 -3.863
```

Computed properties:
The formation energy is -561 meV/atom. The value obtained for the raw total energy is -1.8119 Ry/atom.

***

(17)
First-principles (meta-GGA SCAN) data for a crystal of GeB2Ru2 relaxed with PBEsol, as listed in Alexandria.

```
GeB2Ru2
1.0
-1.359 2.542 0.568
-1.775 -0.435 -2.300
-2.453 -4.022 4.531
Ru Ge B
2 1 2
Cartesian
-3.053 -2.254 2.783
-2.535 0.339 0.016
0.000 0.000 0.000
-2.898 -1.702 0.683
-2.690 -0.214 2.117
```

Computed properties:
The formation energy is -322 meV/atom. The value obtained for the raw total energy is -1.5465 Ry/atom.

***

(18)
First-principles (meta-GGA SCAN) data for a crystal of YMgGaPd2 relaxed with PBEsol, as listed in Alexandria.

```
YMgGaPd2
1.0
-1.652 -2.408 -3.507
3.526 1.330 -2.575
2.842 -4.347 1.646
Y Mg Ga Pd
1 1 1 2
Cartesian
1.421 -2.174 0.823
0.000 0.000 0.000
2.358 -2.713 -2.218
1.763 0.665 -1.287
-0.826 -1.204 -1.754
```

Computed properties:
The formation energy is 397 meV/atom. The value obtained for the raw total energy is -1.6571 Ry/atom.

***

(19)
First-principles (meta-GGA SCAN) data for a crystal of RhPb2Au relaxed with PBEsol, as listed in Alexandria.

```
RhPb2Au
1.0
3.705 0.000 0.000
0.000 4.146 0.000
-1.852 0.000 5.438
Pb Rh Au
2 1 1
Cartesian
0.000 0.000 1.073
0.000 2.073 4.284
1.852 0.000 3.689
1.852 2.073 1.849
```

Computed properties:
The formation energy is -16 meV/atom. The value obtained for the raw total energy is -4.6773 Ry/atom.

***

(20)
First-principles (meta-GGA SCAN) data for a crystal of PuUC2 relaxed with PBEsol, as listed in Alexandria.

```
PuUC2
1.0
-4.766 3.251 1.307
-5.867 -0.025 0.757
-4.431 0.846 3.827
C U Pu
2 1 1
Cartesian
-3.646 0.986 1.426
-11.417 3.086 4.465
-7.532 2.036 2.946
0.000 0.000 0.000
```

Computed properties:
The formation energy is 16 meV/atom. The value obtained for the raw total energy is -4.2961 Ry/atom.

***

(21)
First-principles (meta-GGA SCAN) data for a crystal of CaYPb3 relaxed with PBEsol, as listed in Alexandria.

```
CaYPb3
1.0
-4.818 -0.914 2.943
-0.382 -5.242 -2.254
3.058 -2.095 4.355
Pb Y Ca
3 1 1
Cartesian
-0.191 -2.621 -1.127
1.529 -1.048 2.178
-2.409 -0.457 1.471
0.000 0.000 0.000
-1.071 -4.126 2.522
```

Computed properties:
The excess energy over the best structure of this formula in the dataset comes out at 0 meV/atom. The formation energy is -60 meV/atom. The value obtained for the raw total energy is -3.8976 Ry/atom.

***

(22)
First-principles (meta-GGA SCAN) data for a crystal of Ag7Hg relaxed with PBEsol, as listed in Alexandria.

```
Ag7Hg
1.0
5.777 0.000 0.000
2.889 5.003 0.000
2.889 1.668 4.717
Hg Ag
1 7
Cartesian
0.000 0.000 0.000
2.889 0.000 0.000
4.333 2.502 0.000
1.444 2.502 0.000
4.333 0.834 2.359
1.444 0.834 2.359
2.889 3.335 2.359
5.777 3.335 2.359
```

Computed properties:
The formation energy is 13 meV/atom. The value obtained for the raw total energy is -2.6426 Ry/atom.

***

(23)
First-principles (meta-GGA SCAN) data for a crystal of BeAgAu2 relaxed with PBEsol, as listed in Alexandria.

```
BeAgAu2
1.0
3.012 0.000 0.000
0.000 4.370 0.000
-1.506 -2.185 4.485
Be Au Ag
1 2 1
Cartesian
0.000 0.000 4.425
0.000 0.000 0.032
1.506 0.000 2.647
0.000 2.185 1.867
```

Computed properties:
The formation energy is -112 meV/atom. The value obtained for the raw total energy is -3.2060 Ry/atom.

***

(24)
First-principles (meta-GGA SCAN) data for a crystal of ZrMn2Cr relaxed with PBEsol, as listed in Alexandria.

```
ZrMn2Cr
1.0
-2.779 0.196 0.572
-0.596 -1.358 -2.427
0.247 -5.814 3.193
Cr Mn Zr
1 2 1
Cartesian
-1.564 -3.488 0.669
0.173 -4.067 2.233
0.074 -1.747 0.960
-1.687 -0.581 -0.927
```

Computed properties:
The excess energy over the best structure of this formula in the dataset comes out at 0 meV/atom. The formation energy is -71 meV/atom. The value obtained for the raw total energy is -1.5779 Ry/atom.

***

(25)
First-principles (meta-GGA SCAN) data for a crystal of BaScCl2 relaxed with PBEsol, as listed in Alexandria.

```
BaScCl2
1.0
3.718 0.000 0.000
0.000 3.718 0.000
0.000 0.000 7.445
Sc Ba Cl
1 1 2
Cartesian
0.000 0.000 2.775
1.859 1.859 5.726
0.000 0.000 0.178
1.859 1.859 2.489
```

Computed properties:
The excess energy over the best structure of this formula in the dataset comes out at 0 meV/atom. The calculation puts the uncorrected formation energy at -1.560 eV per atom. The value obtained for the raw total energy is -1.3962 Ry/atom.

***

(26)
First-principles (meta-GGA SCAN) data for a crystal of CoNi3W relaxed with PBEsol, as listed in Alexandria.

```
CoNi3W
1.0
4.099 0.000 0.000
0.000 4.099 0.000
0.000 0.000 4.099
Ni Co W
3 1 1
Cartesian
0.000 2.050 0.000
0.000 0.000 2.050
2.050 0.000 0.000
0.000 0.000 0.000
2.050 2.050 2.050
```

Computed properties:
The formation energy is 1378 meV/atom. The value obtained for the raw total energy is -1.8907 Ry/atom.

***

Number 1: DOS(E_F) 1.82 states/eV/f.u.. Number 2: DOS(E_F) 2.50 states/eV/f.u.. Number 3: DOS(E_F) 4.83 states/eV/f.u.. Number 4: DOS(E_F) 0.87 states/eV/f.u.. Number 5: DOS(E_F) 3.11 states/eV/f.u.. Number 6: DOS(E_F) 1.19 states/eV/f.u.. Number 7: DOS(E_F) 0.00 states/eV/f.u.. Number 8: DOS(E_F) 2.26 states/eV/f.u.. Number 9: DOS(E_F) 2.25 states/eV/f.u.. Number 10: DOS(E_F) 4.16 states/eV/f.u.. Number 11: DOS(E_F) 3.24 states/eV/f.u.. Number 12: DOS(E_F) 3.24 states/eV/f.u.. Number 13: DOS(E_F) 2.60 states/eV/f.u.. Number 14: DOS(E_F) 3.68 states/eV/f.u.. Number 15: DOS(E_F) 3.76 states/eV/f.u.. Number 16: DOS(E_F) 7.10 states/eV/f.u.. Number 17: DOS(E_F) 0.87 states/eV/f.u.. Number 18: DOS(E_F) 3.88 states/eV/f.u.. Number 19: DOS(E_F) 1.78 states/eV/f.u.. Number 20: DOS(E_F) 4.99 states/eV/f.u.. Number 21: DOS(E_F) 3.35 states/eV/f.u.. Number 22: DOS(E_F) 2.68 states/eV/f.u.. Number 23: DOS(E_F) 0.86 states/eV/f.u.. Number 24: DOS(E_F) 2.61 states/eV/f.u.. Number 25: DOS(E_F) 1.94 states/eV/f.u.. Number 26: DOS(E_F) 4.13 states/eV/f.u..